DFT (PBE+U) results for crystalline Mn3F10 at its relaxed geometry.

Total energy = -139.9 eV per cell

a b c (Å): 6.3184 7.6630 9.6403
angles (deg): 111.52 108.66 92.10
Space group P-1 (No. 2)
One atom of each set of equivalent atoms:
Mn 0.0681 0.4859 0.1629 [2 per cell]
Mn 0.1934 0.0280 0.3820 [2 per cell]
Mn 0.2546 0.9841 0.9938 [2 per cell]
F 0.0000 0.0000 0.5000 [1 per cell]
F 0.0094 0.2059 0.0485 [2 per cell]
F 0.0982 0.5433 0.7305 [2 per cell]
F 0.1104 0.7484 0.2569 [2 per cell]
F 0.1155 0.9659 0.7860 [2 per cell]
F 0.1970 0.5075 0.0091 [2 per cell]
F 0.2517 0.2771 0.4780 [2 per cell]
F 0.3305 0.4736 0.2882 [2 per cell]
F 0.3317 0.0222 0.2080 [2 per cell]
F 0.4893 0.1770 0.0392 [2 per cell]
F 0.5000 0.0000 0.5000 [1 per cell]